{"formula": "Y2Sc2Ga", "functional": "PBE", "state": "relaxed", "cell": [[-4.595, -5.522, -1.587], [3.979, -1.592, -5.980], [2.755, -3.054, 2.646]], "species": ["Y", "Y", "Y", "Y", "Sc", "Sc", "Sc", "Sc", "Ga", "Ga"], "fractional_positions": [[0.160, 0.660, 0.500], [0.660, 0.840, 0.500], [0.840, 0.340, 0.500], [0.340, 0.160, 0.500], [0.353, 0.853, 0.000], [0.853, 0.647, 0.000], [0.647, 0.147, 0.000], [0.147, 0.353, 0.000], [0.000, 0.000, 0.000], [0.500, 0.500, 0.000]], "sg": "No. 127", "e_form_mev_per_atom": -97, "m_tot_mub_per_fu": 0.0, "volume_a3_per_atom": 26.5, "final_energy_ev_per_fu": -29.1}

=====

{"formula": "Y2ScGa", "functional": "PBE", "state": "relaxed", "cell": [[4.545, 0.000, 0.000], [0.000, 4.677, 0.000], [0.000, 0.000, 4.677]], "species": ["Y", "Y", "Sc", "Ga"], "fractional_positions": [[0.000, 0.000, 0.500], [0.000, 0.500, 0.000], [0.500, 0.500, 0.500], [0.500, 0.000, 0.000]], "sg": "No. 123", "e_form_mev_per_atom": -254, "m_tot_mub_per_fu": 0.8, "volume_a3_per_atom": 24.9, "final_energy_ev_per_fu": -23.3}

=====

{"formula": "Y2ScGa", "functional": "PBE", "state": "relaxed", "cell": [[3.431, 0.000, 0.000], [1.715, 2.971, 0.000], [1.715, 0.990, 11.359]], "species": ["Y", "Y", "Sc", "Ga"], "fractional_positions": [[0.088, 0.088, 0.736], [0.912, 0.912, 0.264], [0.500, 0.500, 0.500], [0.000, 0.000, 0.000]], "sg": "No. 166", "e_form_mev_per_atom": 149, "m_tot_mub_per_fu": 0.0, "volume_a3_per_atom": 28.9, "final_energy_ev_per_fu": -21.7}

=====

Number 1 is which compound?
Y2Sc2Ga

=====

What is the formula in the third record?
Y2ScGa